First-principles (PBE-GGA) data for crystalline SrTl2CN at its relaxed geometry, as listed in Alexandria via LeMat-Bulk.

Properties
The electronic total energy comes out at -3.36 eV per atom. The total moment comes out at 0.00 μB/f.u. The symmetry is P4/mmm, No. 123. As for the crystal system: tetragonal. For the density of states at the Fermi level, the calculation gives 3.3 states/eV per cell.

```
5
Lattice="4.611 0.000 0.000 0.000 5.300 0.000 0.000 0.000 4.611" Properties=species:S:1:pos:R:3 pbc="T T T"
Sr 2.305 2.650 2.305
Tl 0.000 0.000 2.305
Tl 2.305 0.000 0.000
C 0.000 0.000 0.000
N 0.000 2.650 0.000
```